The following is a DFT calculation (GGA-PBE) of a relaxed structure of DyY2Sb.

Cell lengths 4.131, 12.281, 9.518 Å; angles 90.00, 90.00, 90.00 degrees
Space group Cmcm (No. 63)
Unique sites:
Dy1 0.000 0.060 0.250 (multiplicity 4)
Y1 0.000 0.364 0.048 (multiplicity 8)
Sb1 0.000 0.242 0.750 (multiplicity 4)

Properties
* calculated volume: 482.9 Å³ per cell
* N(E_F): 1.5396 states/eV per atom
* E above lowest polymorph: 0.0000 eV/atom
* E_form (uncorrected): -0.58 eV per atom
* final energy: -5.99 eV per atom